(1)
DFT (PBE) results for crystalline Pr2Y2ErTm2 at its relaxed geometry.

Cell: 11.7548 3.5144 11.8269 Å, 90.00 108.81 90.00°
Closest atoms and distances in Å follow each position.
Space group C2/m (No. 12)
One atom of each set of equivalent atoms:
Pr (0.1722, 0.0000, 0.0868) [4 per cell]  5 Pr 3.51-3.90, 4 Y 3.53-3.64, 2 Tm 3.62
Y (0.0474, 0.0000, 0.7681) [4 per cell]  3 Tm 3.49-3.59, 2 Er 3.51, 2 Y 3.51, 4 Pr 3.53-3.64
Er (0.0000, 0.5000, 0.5000) [2 per cell]  4 Y 3.51, 2 Er 3.51, 6 Tm 3.53
Tm (0.2291, 0.5000, 0.3673) [4 per cell]  3 Y 3.49-3.59, 4 Tm 3.49-3.51, 3 Er 3.53, 2 Pr 3.62

Computed properties:
The raw total energy comes out at -70.778 eV per cell. The calculation puts the formation energy at 0.6 eV/f.u. For the magnetization, the calculation gives 0.000 μB per cell.

=====

(2)
DFT (PBE) results for crystalline YBe2Zn at its relaxed geometry.

Cell: 4.2451 4.2451 15.4927 Å, 90.00 90.00 90.00°
Closest atoms and distances in Å follow each position.
Space group I4_1/amd (No. 141, origin choice 2)
One atom of each set of equivalent atoms:
Y (0.0000, 0.2500, 0.3750) [4 per cell]  4 Zn 3.00, 8 Be 3.06
Be (0.0000, 0.0000, 0.0000) [8 per cell]  2 Be 2.12, 2 Zn 2.21
Zn (0.0000, 0.2500, 0.8750) [4 per cell]  4 Be 2.21

Computed properties:
The raw total energy comes out at -59.466 eV per cell. The calculation puts the formation energy at 0.3 eV/f.u. For the magnetization, the calculation gives 0.000 μB per cell.

=====

(3)
DFT (PBE) results for crystalline Tb4SmDy2Tl at its relaxed geometry.

Cell: 3.5969 17.0044 17.2228 Å, 90.00 90.00 90.00°
Closest atoms and distances in Å follow each position.
Space group Cmcm (No. 63)
One atom of each set of equivalent atoms:
Tb (0.0000, 0.0000, 0.0000) [4 per cell]  4 Dy 3.52, 6 Tb 3.60-3.74
Tb (0.0000, 0.3256, 0.0821) [8 per cell]  3 Dy 3.26-3.62, 2 Sm 3.49, 2 Tb 3.60
Tb (0.0000, 0.4576, 0.2500) [4 per cell]  2 Tl 3.14, 2 Sm 3.52
Sm (0.0000, 0.2201, 0.7500) [4 per cell]  2 Tl 3.41, 2 Dy 3.42, 6 Tb 3.49-3.52, 2 Sm 3.60
Dy (0.0000, 0.3574, 0.6048) [8 per cell]  2 Tl 3.13, 1 Tb 3.26, 1 Sm 3.42
Tl (0.0000, 0.1092, 0.2500) [4 per cell]  4 Dy 3.13, 2 Tb 3.14, 2 Sm 3.41

Computed properties:
The raw total energy comes out at -136.344 eV per cell. The calculation puts the formation energy at 0.7 eV/f.u. For the magnetization, the calculation gives 0.007 μB per cell.

=====

(4)
DFT (PBE) results for crystalline TmZnNiAu at its relaxed geometry.

Cell: 6.5407 6.5407 6.5407 Å, 90.00 90.00 90.00°
Closest atoms and distances in Å follow each position.
Space group F-43m (No. 216)
One atom of each set of equivalent atoms:
Tm (0.0000, 0.0000, 0.0000) [4 per cell]  4 Au 2.83, 4 Ni 2.83
Zn (0.0000, 0.0000, 0.5000) [4 per cell]  4 Ni 2.83, 4 Au 2.83
Ni (0.2500, 0.2500, 0.2500) [4 per cell]  4 Tm 2.83, 4 Zn 2.83
Au (0.2500, 0.2500, 0.7500) [4 per cell]  4 Tm 2.83, 4 Zn 2.83

Computed properties:
The raw total energy comes out at -66.114 eV per cell. The calculation puts the formation energy at -1.7 eV/f.u. For the magnetization, the calculation gives 0.000 μB per cell.

=====

(5)
DFT (PBE) results for crystalline Nd2Fe12Si7 at its relaxed geometry.

Cell: 9.1893 9.1893 3.8251 Å, 90.00 90.00 120.00°
Closest atoms and distances in Å follow each position.
Space group P-6 (No. 174)
One atom of each set of equivalent atoms:
Nd (0.0000, 0.0000, 0.0000) [1 per cell]  12 Fe 2.95-3.18, 6 Si 3.02
Nd (0.3333, 0.6667, 0.5000) [1 per cell]  6 Si 3.03, 9 Fe 3.11-3.15
Fe (0.0357, 0.7434, 0.5000) [3 per cell]  4 Si 2.43-2.49, 5 Fe 2.51-2.59
Fe (0.1281, 0.3655, 0.0000) [3 per cell]  4 Si 2.35-2.40, 3 Fe 2.51-2.61
Fe (0.3820, 0.1992, 0.0000) [3 per cell]  4 Si 2.27-2.33
Fe (0.5623, 0.1344, 0.5000) [3 per cell]  5 Si 2.36-2.48, 1 Fe 2.51
Si (0.0439, 0.5745, 0.0000) [3 per cell]  7 Fe 2.31-2.49
Si (0.2703, 0.0347, 0.5000) [3 per cell]  7 Fe 2.33-2.46
Si (0.6667, 0.3333, 0.0000) [1 per cell]  9 Fe 2.27-2.48

Computed properties:
The raw total energy comes out at -156.843 eV per cell. As for the uncorrected formation energy: -0.371 eV per atom. For the magnetization, the calculation gives 17.071 μB per cell.

=====

(6)
DFT (PBE) results for crystalline NbInBi2 at its relaxed geometry.

Cell: 3.5973 3.5973 8.2035 Å, 90.00 90.00 90.00°
Closest atoms and distances in Å follow each position.
Space group P4/mmm (No. 123)
One atom of each set of equivalent atoms:
Nb (0.0000, 0.0000, 0.0000) [1 per cell]  8 Bi 3.05
In (0.0000, 0.0000, 0.5000) [1 per cell]  8 Bi 3.51, 4 In 3.60
Bi (0.5000, 0.5000, 0.2050) [2 per cell]  4 Nb 3.05, 1 Bi 3.36

Computed properties:
The raw total energy comes out at -19.964 eV per cell. The calculation puts the formation energy at 0.6 eV/f.u. For the magnetization, the calculation gives 0.000 μB per cell.

=====

(7)
DFT (PBE) results for crystalline CaPrNdCd at its relaxed geometry.

Cell: 3.7081 3.7081 9.6303 Å, 90.00 90.00 90.00°
Closest atoms and distances in Å follow each position.
Space group P4mm (No. 99)
One atom of each set of equivalent atoms:
Ca (0.0000, 0.0000, 0.0000) [1 per cell]  4 Cd 3.33, 4 Ca 3.71
Pr (0.5000, 0.5000, 0.3041) [1 per cell]  4 Nd 3.66, 4 Pr 3.71, 4 Ca 3.93
Nd (0.0000, 0.0000, 0.5699) [1 per cell]  4 Cd 3.35, 4 Pr 3.66, 4 Nd 3.71
Cd (0.5000, 0.5000, 0.7869) [1 per cell]  4 Ca 3.33, 4 Nd 3.35, 4 Cd 3.71

Computed properties:
The raw total energy comes out at -13.055 eV per cell. For the energy above the most stable polymorph in this dataset, the calculation gives 0.0000 eV per atom. The calculation puts the formation energy at -0.6 eV/f.u. For the magnetization, the calculation gives 0.000 μB per cell.

=====

(8)
DFT (PBE) results for crystalline VFeIrW at its relaxed geometry.

Cell: 6.0575 6.0575 6.0575 Å, 90.00 90.00 90.00°
Closest atoms and distances in Å follow each position.
Space group F-43m (No. 216)
One atom of each set of equivalent atoms:
V (0.0000, 0.0000, 0.0000) [4 per cell]  4 Ir 2.62, 4 W 2.62
Fe (0.0000, 0.0000, 0.5000) [4 per cell]  4 W 2.62, 4 Ir 2.62
Ir (0.2500, 0.2500, 0.7500) [4 per cell]  4 Fe 2.62, 4 V 2.62
W (0.2500, 0.2500, 0.2500) [4 per cell]  4 Fe 2.62, 4 V 2.62

Computed properties:
The raw total energy comes out at -158.901 eV per cell. The calculation puts the formation energy at -0.3 eV/f.u. For the magnetization, the calculation gives 12.167 μB per cell.

=====

> Among the records above, which one has the highest magnetization?

Nd2Fe12Si7